No. 1
! Ir2CS, optimized geometry, DFT GGA-PBE; values from VASP
! * ΔE_f (raw): 302 meV per atom
! * excess energy over the best structure of this formula in the dataset: 0.000 eV per atom
&SYSTEM
  ibrav = 0, nat = 8, ntyp = 3
/
ATOMIC_SPECIES
C 12.01 C.upf
Ir 192.22 Ir.upf
S 32.06 S.upf
ATOMIC_POSITIONS angstrom
C -3.340 -0.583 0.670
C -4.799 -3.620 -0.334
Ir -7.377 -5.073 2.341
Ir -3.538 -2.101 -0.605
Ir -2.645 -1.520 2.285
Ir -4.492 -4.625 1.359
S 0.000 0.000 0.000
S -4.227 -3.040 3.024
CELL_PARAMETERS angstrom
-2.768 -0.003 4.029
-3.912 -1.164 -2.688
-2.346 -5.493 1.350



No. 2
! IrC3S, optimized geometry, DFT GGA-PBE; values from VASP
! * ΔE_f (raw): 2223 meV per atom
! * excess energy over the best structure of this formula in the dataset: 0.000 eV per atom
&SYSTEM
  ibrav = 0, nat = 5, ntyp = 3
/
ATOMIC_SPECIES
C 12.01 C.upf
S 32.06 S.upf
Ir 192.22 Ir.upf
ATOMIC_POSITIONS angstrom
C 2.000 0.000 0.000
C 0.000 0.000 2.000
C 0.000 2.000 0.000
S 2.000 2.000 2.000
Ir 0.000 0.000 0.000
CELL_PARAMETERS angstrom
4.001 0.000 0.000
0.000 4.001 0.000
0.000 0.000 4.001



No. 3
! IrC3S, optimized geometry, DFT GGA-PBE; values from VASP
! * ΔE_f (raw): 2515 meV per atom
! * excess energy over the best structure of this formula in the dataset: 0.292 eV per atom
&SYSTEM
  ibrav = 0, nat = 5, ntyp = 3
/
ATOMIC_SPECIES
C 12.01 C.upf
S 32.06 S.upf
Ir 192.22 Ir.upf
ATOMIC_POSITIONS angstrom
C 0.000 1.798 0.000
C 1.798 0.000 0.000
C 0.000 0.000 1.798
S 0.000 0.000 0.000
Ir 1.798 1.798 1.798
CELL_PARAMETERS angstrom
3.595 0.000 0.000
0.000 3.595 0.000
0.000 0.000 3.595



No. 4
! Ir2C4S, optimized geometry, DFT GGA-PBE; values from VASP
! * ΔE_f (raw): 2113 meV per atom
&SYSTEM
  ibrav = 0, nat = 7, ntyp = 3
/
ATOMIC_SPECIES
C 12.01 C.upf
Ir 192.22 Ir.upf
S 32.06 S.upf
ATOMIC_POSITIONS angstrom
C 1.922 1.922 3.213
C 3.844 3.844 1.877
C 0.000 1.922 0.000
C 1.922 0.000 0.000
Ir 1.922 1.922 1.368
Ir 3.844 3.844 3.722
S 0.000 0.000 0.000
CELL_PARAMETERS angstrom
3.844 0.000 0.000
0.000 3.844 0.000
1.922 1.922 5.090



No. 5
! IrCS3, optimized geometry, DFT GGA-PBE; values from VASP
! * ΔE_f (raw): 1435 meV per atom
! * excess energy over the best structure of this formula in the dataset: 0.000 eV per atom
&SYSTEM
  ibrav = 0, nat = 5, ntyp = 3
/
ATOMIC_SPECIES
Ir 192.22 Ir.upf
C 12.01 C.upf
S 32.06 S.upf
ATOMIC_POSITIONS angstrom
Ir -2.502 -2.322 0.607
C 0.000 0.000 0.000
S -0.117 -1.178 1.614
S -1.950 0.419 0.165
S -0.435 -1.564 -1.172
CELL_PARAMETERS angstrom
-3.901 0.838 0.329
-0.870 -3.127 -2.344
-0.233 -2.355 3.229



No. 6
! Ir2CS, optimized geometry, DFT GGA-PBE; values from VASP
! * ΔE_f (raw): 1315 meV per atom
! * excess energy over the best structure of this formula in the dataset: 1.013 eV per atom
&SYSTEM
  ibrav = 0, nat = 4, ntyp = 3
/
ATOMIC_SPECIES
Ir 192.22 Ir.upf
C 12.01 C.upf
S 32.06 S.upf
ATOMIC_POSITIONS angstrom
Ir 4.362 4.362 4.362
Ir 1.454 1.454 1.454
C 0.000 0.000 0.000
S 2.908 2.908 2.908
CELL_PARAMETERS angstrom
0.000 2.908 2.908
2.908 0.000 2.908
2.908 2.908 0.000



No. 7
! Ta2IrCS, optimized geometry, DFT GGA-PBE; values from VASP
! * ΔE_f (raw): 1125 meV per atom
&SYSTEM
  ibrav = 0, nat = 5, ntyp = 4
/
ATOMIC_SPECIES
C 12.01 C.upf
Ta 180.95 Ta.upf
Ir 192.22 Ir.upf
S 32.06 S.upf
ATOMIC_POSITIONS angstrom
C 0.338 -1.068 1.495
Ta -2.455 -0.417 0.257
Ta -0.187 2.011 1.478
Ir 0.000 0.000 0.000
S -2.304 0.527 3.230
CELL_PARAMETERS angstrom
-4.910 -0.833 0.513
0.675 -2.136 2.991
-0.374 4.023 2.956



No. 8
! Th4IrCS2, optimized geometry, DFT GGA-PBE; values from VASP
! * ΔE_f (raw): -1207 meV per atom
&SYSTEM
  ibrav = 0, nat = 8, ntyp = 4
/
ATOMIC_SPECIES
C 12.01 C.upf
Th 232.04 Th.upf
S 32.06 S.upf
Ir 192.22 Ir.upf
ATOMIC_POSITIONS angstrom
C -4.644 -1.047 3.241
Th -6.808 -1.534 4.809
Th -3.388 3.264 1.607
Th -4.079 1.133 4.722
Th -6.118 0.597 1.695
S -1.635 1.688 3.288
S -2.363 -0.448 6.640
Ir -3.917 1.089 -0.112
CELL_PARAMETERS angstrom
-0.908 3.825 -0.065
-6.926 -1.647 -0.159
-2.363 -0.448 6.640



No. 9
! Th6Ir2CS3, optimized geometry, DFT GGA-PBE; values from VASP
! * ΔE_f (raw): -1244 meV per atom
&SYSTEM
  ibrav = 0, nat = 12, ntyp = 4
/
ATOMIC_SPECIES
Th 232.04 Th.upf
C 12.01 C.upf
S 32.06 S.upf
Ir 192.22 Ir.upf
ATOMIC_POSITIONS angstrom
Th -0.505 -1.762 0.054
Th -9.705 -1.681 -0.261
Th -4.191 -3.091 -1.317
Th -6.019 -0.353 1.110
Th -2.890 0.766 -1.472
Th -7.321 -4.209 1.265
C -0.364 0.044 -1.957
S -1.487 -3.987 -1.839
S -4.443 -5.221 0.708
S -5.767 1.777 -0.914
Ir -6.947 -2.263 -0.786
Ir -3.263 -1.181 0.580
CELL_PARAMETERS angstrom
-0.727 0.088 -3.914
-2.246 -8.063 0.236
-7.237 4.531 3.472



No. 10
! Th6Ir2C3S, optimized geometry, DFT GGA-PBE; values from VASP
! * ΔE_f (raw): -735 meV per atom
&SYSTEM
  ibrav = 0, nat = 12, ntyp = 4
/
ATOMIC_SPECIES
C 12.01 C.upf
Ir 192.22 Ir.upf
Th 232.04 Th.upf
S 32.06 S.upf
ATOMIC_POSITIONS angstrom
C 2.807 -2.553 -2.375
C 3.542 -1.323 4.783
C 6.159 -0.762 -2.165
Ir 3.388 -0.064 0.800
Ir 6.313 -2.020 1.818
Th 4.663 -2.340 -0.543
Th 5.428 -1.123 6.546
Th 1.720 -1.599 2.606
Th 7.981 -0.485 0.012
Th 5.037 0.256 3.160
Th 4.273 -0.961 -3.928
S -0.116 -1.892 0.337
CELL_PARAMETERS angstrom
-0.231 -3.783 0.674
5.844 -1.323 -5.423
4.088 3.022 7.367



No. 11
! SbIrC2, optimized geometry, DFT GGA-PBE; values from VASP
! * ΔE_f (raw): 1064 meV per atom
&SYSTEM
  ibrav = 0, nat = 8, ntyp = 3
/
ATOMIC_SPECIES
Ir 192.22 Ir.upf
C 12.01 C.upf
Sb 121.76 Sb.upf
ATOMIC_POSITIONS angstrom
Ir 0.000 0.000 0.000
Ir 5.012 2.506 2.374
C 3.960 1.253 1.187
C 1.053 3.759 1.187
C 3.759 3.559 3.561
C 6.265 6.466 3.561
Sb 2.506 5.012 2.374
Sb 2.506 2.506 0.000
CELL_PARAMETERS angstrom
5.012 0.000 0.000
0.000 5.012 0.000
2.506 2.506 4.748



No. 12
! SbIr3C, optimized geometry, DFT GGA-PBE; values from VASP
! * ΔE_f (raw): 583 meV per atom
! * excess energy over the best structure of this formula in the dataset: 0.000 eV per atom
&SYSTEM
  ibrav = 0, nat = 5, ntyp = 3
/
ATOMIC_SPECIES
C 12.01 C.upf
Ir 192.22 Ir.upf
Sb 121.76 Sb.upf
ATOMIC_POSITIONS angstrom
C 0.000 0.000 0.000
Ir 1.998 -0.438 0.509
Ir -0.340 0.717 1.953
Ir -0.578 -1.933 0.610
Sb 1.080 -1.653 3.071
CELL_PARAMETERS angstrom
-0.680 1.435 3.906
-1.157 -3.867 1.219
3.997 -0.875 1.017



no.,calculated total energy (eV per cell)
1,-59.73
2,-29.54
3,-28.08
4,-43.96
5,-23.29
6,-25.81
7,-40.29
8,-65.67
9,-98.78
10,-102.86
11,-54.35
12,-37.01